# 1
Below is a relaxed structure of Al2BiSe, with properties calculated at the PBE level.

- offset from the most stable computed form (meV per atom) = 254
- space-group type = Fm-3m, No. 225
- formation energy without anion corrections (eV per formula unit) = 0.81

Structure (CIF):
```
data_Al2BiSe
_cell_length_a 5.0300
_cell_length_b 5.0300
_cell_length_c 5.0300
_cell_angle_alpha 60.00
_cell_angle_beta 60.00
_cell_angle_gamma 60.00
_space_group_name_H-M_alt 'P 1'
_space_group_IT_number 1
loop_
_space_group_symop_operation_xyz
'x,y,z'
loop_
_atom_site_label
_atom_site_type_symbol
_atom_site_fract_x
_atom_site_fract_y
_atom_site_fract_z
Al1 Al 0.2500 0.2500 0.2500
Al2 Al 0.7500 0.7500 0.7500
Se1 Se 0.0000 0.0000 0.0000
Bi1 Bi 0.5000 0.5000 0.5000
```

# 2
Below is a relaxed structure of AlBi2Se5, with properties calculated at the PBE level.

- space-group type = Cmcm, No. 63
- formation energy without anion corrections (eV per formula unit) = -2.62

Structure (CIF):
```
data_AlBi2Se5
_cell_length_a 5.7551
_cell_length_b 7.5914
_cell_length_c 12.3981
_cell_angle_alpha 90.00
_cell_angle_beta 90.00
_cell_angle_gamma 112.28
_space_group_name_H-M_alt 'P 1'
_space_group_IT_number 1
loop_
_space_group_symop_operation_xyz
'x,y,z'
loop_
_atom_site_label
_atom_site_type_symbol
_atom_site_fract_x
_atom_site_fract_y
_atom_site_fract_z
Bi1 Bi 0.8440 0.6879 0.4347
Bi2 Bi 0.8440 0.6879 0.0653
Se1 Se 0.6920 0.3840 0.5959
Se2 Se 0.6920 0.3840 0.9041
Se3 Se 0.9524 0.9047 0.8695
Al1 Al 0.8094 0.6188 0.7500
Se4 Se 0.2862 0.5724 0.7500
Al2 Al 0.1906 0.3812 0.2500
Bi3 Bi 0.1560 0.3121 0.5653
Se5 Se 0.0476 0.0953 0.3695
Se6 Se 0.0476 0.0953 0.1305
Se7 Se 0.7138 0.4276 0.2500
Se8 Se 0.3080 0.6160 0.0959
Se9 Se 0.3080 0.6160 0.4041
Se10 Se 0.9524 0.9047 0.6305
Bi4 Bi 0.1560 0.3121 0.9347
```

# 3
Below is a relaxed structure of Al3BiSe, with properties calculated at the PBE level.

- offset from the most stable computed form (meV per atom) = 471
- space-group type = Pm-3m, No. 221
- formation energy without anion corrections (eV per formula unit) = 4.46

Structure (CIF):
```
data_Al3BiSe
_cell_length_a 5.5405
_cell_length_b 5.5405
_cell_length_c 5.5405
_cell_angle_alpha 90.00
_cell_angle_beta 90.00
_cell_angle_gamma 90.00
_space_group_name_H-M_alt 'P 1'
_space_group_IT_number 1
loop_
_space_group_symop_operation_xyz
'x,y,z'
loop_
_atom_site_label
_atom_site_type_symbol
_atom_site_fract_x
_atom_site_fract_y
_atom_site_fract_z
Bi1 Bi 0.0000 0.0000 0.0000
Al1 Al 0.0000 0.0000 0.5000
Al2 Al 0.0000 0.5000 0.0000
Se1 Se 0.5000 0.5000 0.5000
Al3 Al 0.5000 0.0000 0.0000
```

# 4
Below is a relaxed structure of Sr2AlBiSe5, with properties calculated at the PBE level.

- space-group type = Cmc2_1, No. 36
- formation energy without anion corrections (eV per formula unit) = -11.53

Structure (CIF):
```
data_Sr2AlBiSe5
_cell_length_a 4.1510
_cell_length_b 9.5619
_cell_length_c 13.1395
_cell_angle_alpha 90.00
_cell_angle_beta 90.00
_cell_angle_gamma 102.54
_space_group_name_H-M_alt 'P 1'
_space_group_IT_number 1
loop_
_space_group_symop_operation_xyz
'x,y,z'
loop_
_atom_site_label
_atom_site_type_symbol
_atom_site_fract_x
_atom_site_fract_y
_atom_site_fract_z
Se1 Se 0.3532 0.7064 0.0088
Sr1 Sr 0.8771 0.7542 0.8312
Se2 Se 0.2866 0.5733 0.6883
Se3 Se 0.5054 0.0108 0.2642
Se4 Se 0.7134 0.4267 0.1883
Sr2 Sr 0.1136 0.2272 0.6824
Se5 Se 0.6468 0.2936 0.5088
Sr3 Sr 0.1229 0.2458 0.3312
Se6 Se 0.9679 0.9358 0.5226
Se7 Se 0.3205 0.6410 0.3697
Al1 Al 0.5549 0.1097 0.9223
Bi1 Bi 0.7955 0.5909 0.5346
Se8 Se 0.4946 0.9892 0.7642
Se9 Se 0.6795 0.3590 0.8697
Sr4 Sr 0.8864 0.7728 0.1824
Bi2 Bi 0.2045 0.4091 0.0346
Se10 Se 0.0321 0.0642 0.0226
Al2 Al 0.4451 0.8903 0.4223
```

# 5
Below is a relaxed structure of AlTlBiSe3, with properties calculated at the PBE level.

- space-group type = P2_1/m, No. 11
- formation energy without anion corrections (eV per formula unit) = -2.87

Structure (CIF):
```
data_AlTlBiSe3
_cell_length_a 4.0199
_cell_length_b 9.6256
_cell_length_c 10.5040
_cell_angle_alpha 95.10
_cell_angle_beta 90.00
_cell_angle_gamma 90.00
_space_group_name_H-M_alt 'P 1'
_space_group_IT_number 1
loop_
_space_group_symop_operation_xyz
'x,y,z'
loop_
_atom_site_label
_atom_site_type_symbol
_atom_site_fract_x
_atom_site_fract_y
_atom_site_fract_z
Se1 Se 0.7500 0.1671 0.5094
Se2 Se 0.2500 0.8329 0.4906
Se3 Se 0.2500 0.0706 0.8328
Se4 Se 0.7500 0.4733 0.1603
Al1 Al 0.2500 0.0673 0.6110
Tl1 Tl 0.2500 0.2021 0.1460
Se5 Se 0.7500 0.9294 0.1672
Bi1 Bi 0.7500 0.3296 0.8636
Tl2 Tl 0.7500 0.7979 0.8540
Bi2 Bi 0.2500 0.6704 0.1364
Se6 Se 0.2500 0.5267 0.8397
Al2 Al 0.7500 0.9327 0.3890
```

# 6
Below is a relaxed structure of AlBiWSe2, with properties calculated at the PBE level.

- space-group type = P4/mmm, No. 123
- formation energy without anion corrections (eV per formula unit) = 5.69

Structure (CIF):
```
data_AlBiWSe2
_cell_length_a 4.8094
_cell_length_b 5.3805
_cell_length_c 4.8094
_cell_angle_alpha 90.00
_cell_angle_beta 90.00
_cell_angle_gamma 90.00
_space_group_name_H-M_alt 'P 1'
_space_group_IT_number 1
loop_
_space_group_symop_operation_xyz
'x,y,z'
loop_
_atom_site_label
_atom_site_type_symbol
_atom_site_fract_x
_atom_site_fract_y
_atom_site_fract_z
Se1 Se 0.5000 0.0000 0.0000
Bi1 Bi 0.0000 0.5000 0.0000
Se2 Se 0.0000 0.0000 0.5000
Al1 Al 0.0000 0.0000 0.0000
W1 W 0.5000 0.5000 0.5000
```

no.,uncorrected energy (eV per atom)
1,-3.5096
2,-3.9439
3,-2.8272
4,-4.4383
5,-3.8861
6,-4.3716